# NpScNiOs | Alexandria via LeMat-Bulk | PBE | optimized geometry
# Formation energy from the elements (meV per atom): -141
# D(E_F) (states/eV/f.u.): 6.422
data_NpScNiOs
_chemical_formula_sum 'Np4 Sc4 Ni4 Os4'
_cell_length_a 6.567
_cell_length_b 6.567
_cell_length_c 6.567
_cell_angle_alpha 90.00
_cell_angle_beta 90.00
_cell_angle_gamma 90.00
_space_group_name_H-M_alt 'F -4 3 m'
_space_group_IT_number 216
_space_group_name_Hall 'F -4 2 3'
loop_
_atom_site_label
_atom_site_type_symbol
_atom_site_fract_x
_atom_site_fract_y
_atom_site_fract_z
Np1 Np 0.000 0.000 0.000
Sc1 Sc 0.000 0.000 0.500
Ni1 Ni 0.250 0.250 0.750
Os1 Os 0.250 0.250 0.250


# NpUNiOs | Alexandria via LeMat-Bulk | PBE | optimized geometry
# Formation energy from the elements (meV per atom): -199
# D(E_F) (states/eV/f.u.): 5.447
data_NpUNiOs
_chemical_formula_sum 'Np4 U4 Ni4 Os4'
_cell_length_a 6.412
_cell_length_b 6.412
_cell_length_c 6.412
_cell_angle_alpha 90.00
_cell_angle_beta 90.00
_cell_angle_gamma 90.00
_space_group_name_H-M_alt 'F -4 3 m'
_space_group_IT_number 216
_space_group_name_Hall 'F -4 2 3'
loop_
_atom_site_label
_atom_site_type_symbol
_atom_site_fract_x
_atom_site_fract_y
_atom_site_fract_z
Np1 Np 0.000 0.000 0.000
U1 U 0.250 0.250 0.750
Ni1 Ni 0.250 0.250 0.250
Os1 Os 0.000 0.000 0.500


# NpNi2P2 | Alexandria via LeMat-Bulk | PBE | optimized geometry
# Formation energy from the elements (meV per atom): -568
# D(E_F) (states/eV/f.u.): 9.866
data_NpNi2P2
_chemical_formula_sum 'Np8 Ni16 P16'
_cell_length_a 7.051
_cell_length_b 9.382
_cell_length_c 9.627
_cell_angle_alpha 90.00
_cell_angle_beta 90.00
_cell_angle_gamma 90.00
_space_group_name_H-M_alt 'F d d d'
_space_group_IT_number 70
loop_
_space_group_symop_operation_xyz
'x,y,z'
'-x,-y,-z'
'-x+1/4,-y+1/4,z'
'x+1/4,y+1/4,-z'
'x,-y+1/4,-z+1/4'
'-x,y+1/4,z+1/4'
'-x+1/4,y,-z+1/4'
'x+1/4,-y,z+1/4'
'x,y+1/2,z+1/2'
'-x,-y+1/2,-z+1/2'
'-x+1/4,-y+3/4,z+1/2'
'x+1/4,y+3/4,-z+1/2'
'x,-y+3/4,-z+3/4'
'-x,y+3/4,z+3/4'
'-x+1/4,y+1/2,-z+3/4'
'x+1/4,-y+1/2,z+3/4'
'x+1/2,y,z+1/2'
'-x+1/2,-y,-z+1/2'
'-x+3/4,-y+1/4,z+1/2'
'x+3/4,y+1/4,-z+1/2'
'x+1/2,-y+1/4,-z+3/4'
'-x+1/2,y+1/4,z+3/4'
'-x+3/4,y,-z+3/4'
'x+3/4,-y,z+3/4'
'x+1/2,y+1/2,z'
'-x+1/2,-y+1/2,-z'
'-x+3/4,-y+3/4,z'
'x+3/4,y+3/4,-z'
'x+1/2,-y+3/4,-z+1/4'
'-x+1/2,y+3/4,z+1/4'
'-x+3/4,y+1/2,-z+1/4'
'x+3/4,-y+1/2,z+1/4'
loop_
_atom_site_label
_atom_site_type_symbol
_atom_site_fract_x
_atom_site_fract_y
_atom_site_fract_z
Np1 Np 0.125 0.125 0.125
Ni1 Ni 0.125 0.254 0.625
P1 P 0.125 0.125 0.426


Q: formation energy from the elements of number 3 (NpNi2P2)?
A: -568 meV per atom


Q: Look up the formation energy from the elements of the second one.
A: -199 meV per atom


Q: What is the formation energy from the elements in the second record?
A: -199 meV per atom


Q: D(E_F) of number 3 (NpNi2P2)?
A: 9.866 states/eV/f.u.